(1)
Material: Er2InHg5
Method: DFT, PBE-GGA
State: relaxed

Values from the calculation:
DOS(E_F): 0.5920 states/eV/atom
E_tot: -1.91 eV per atom
ρ: 12.18 g/cm3

Geometry as POSCAR:
```
Er2InHg5
1.0
-4.6454 2.6581 -0.4041
-2.6878 -4.5712 0.8298
3.7521 2.1351 6.5560
Er In Hg
2 1 5
Direct
0.7509 0.7509 0.5019
0.2491 0.2491 0.4981
0.0000 0.0000 0.0000
0.5000 0.5000 0.0000
0.8732 0.3731 0.7463
0.3732 0.8731 0.7463
0.1268 0.6269 0.2537
0.6268 0.1269 0.2537
```

(2)
Material: Dy3In2Pb
Method: DFT, PBE-GGA
State: relaxed

Values from the calculation:
DOS(E_F): 0.8121 states/eV/atom
E_tot: -4.28 eV per atom
ρ: 9.46 g/cm3

Geometry as POSCAR:
```
Dy3In2Pb
1.0
-3.0809 3.0057 0.7099
-2.8339 -2.0762 -3.5083
-6.2751 -8.8689 10.3173
Dy In Pb
6 4 2
Direct
0.5003 0.5000 0.6674
0.5007 0.0000 0.5000
0.5003 0.5000 0.3326
0.4997 0.0000 0.1674
0.4993 0.5000 0.0000
0.4997 0.0000 0.8326
0.0002 0.0000 0.6707
0.0002 0.0000 0.3293
0.9998 0.5000 0.1707
0.9998 0.5000 0.8293
0.0005 0.5000 0.5000
0.9995 0.0000 0.0000
```

(3)
Material: PmLuMnIn
Method: DFT, PBE-GGA
State: relaxed

Values from the calculation:
DOS(E_F): 1.0604 states/eV/atom
E_tot: -5.37 eV per atom
ρ: 8.12 g/cm3

Geometry as POSCAR:
```
PmLuMnIn
1.0
-1.1740 -5.0776 -0.1435
3.7757 -3.5303 -0.6800
1.4000 -3.1116 3.9420
Lu In Mn Pm
1 1 1 1
Direct
0.7500 0.7500 0.7500
0.5000 0.5000 0.5000
0.0000 0.0000 0.0000
0.2500 0.2500 0.2500
```